{
  "formula": "LiCa2Si",
  "functional": "GGA-PBE",
  "state": "relaxed",
  "cell": [[5.094, 0.000, 0.000], [2.547, 4.412, 0.000], [2.547, 1.471, 4.160]],
  "species": ["Si", "Li", "Ca", "Ca"],
  "fractional_positions": [[0.750, 0.750, 0.750], [0.500, 0.500, 0.500], [0.250, 0.250, 0.250], [0.000, 0.000, 0.000]],
  "total_energy_ev_per_atom": -2.878,
  "space_group": "F-43m"
}


{
  "formula": "NaCa4Ac",
  "functional": "GGA-PBE",
  "state": "relaxed",
  "cell": [[3.837, 0.000, 0.000], [0.000, 3.837, 0.000], [0.000, 0.000, 17.001]],
  "species": ["Ca", "Ca", "Ca", "Ca", "Ac", "Na"],
  "fractional_positions": [[0.500, 0.500, 0.171], [0.000, 0.000, 0.340], [0.000, 0.000, 0.660], [0.500, 0.500, 0.829], [0.000, 0.000, 0.000], [0.500, 0.500, 0.500]],
  "delta_e_f_mev_per_atom": 48.4,
  "space_group": "P4/mmm"
}


{
  "formula": "Ho4GaHgTe2",
  "functional": "GGA-PBE",
  "state": "relaxed",
  "cell": [[-1.008, -0.891, -3.893], [2.275, -6.673, 0.938], [-7.731, 0.173, 1.962]],
  "species": ["Ho", "Ho", "Ho", "Ho", "Ga", "Te", "Te", "Hg"],
  "fractional_positions": [[0.000, 0.261, 0.763], [0.000, 0.739, 0.237], [0.500, 0.747, 0.757], [0.500, 0.253, 0.243], [0.500, 0.500, 0.000], [0.500, 0.000, 0.500], [0.000, 0.500, 0.500], [0.000, 0.000, 0.000]],
  "total_energy_ev_per_atom": -4.368,
  "space_group": "P2/m"
}


{
  "formula": "Be3CdO",
  "functional": "GGA-PBE",
  "state": "relaxed",
  "cell": [[3.726, 0.000, 0.000], [0.000, 3.726, 0.000], [0.000, 0.000, 3.726]],
  "species": ["Be", "Be", "Be", "O", "Cd"],
  "fractional_positions": [[0.000, 0.000, 0.500], [0.000, 0.500, 0.000], [0.500, 0.000, 0.000], [0.000, 0.000, 0.000], [0.500, 0.500, 0.500]],
  "total_energy_ev_per_atom": -3.588,
  "space_group": "Pm-3m"
}


{
  "formula": "RbN3Cl",
  "functional": "GGA-PBE",
  "state": "relaxed",
  "cell": [[-2.473, 3.264, 1.013], [-3.387, -2.507, -0.189], [0.456, -0.924, 4.090]],
  "species": ["Rb", "N", "N", "N", "Cl"],
  "fractional_positions": [[0.500, 0.500, 0.500], [0.500, 0.000, 0.000], [0.000, 0.500, 0.000], [0.000, 0.000, 0.500], [0.000, 0.000, 0.000]],
  "total_energy_ev_per_atom": -3.128,
  "space_group": "Pm-3m"
}


{
  "formula": "HfBiSN2",
  "functional": "GGA-PBE",
  "state": "relaxed",
  "cell": [[-3.842, -1.621, 0.579], [0.847, -0.547, 4.087], [-1.807, 4.638, 0.995]],
  "species": ["Bi", "N", "N", "Hf", "S"],
  "fractional_positions": [[0.000, 0.000, 0.000], [0.500, 0.000, 0.000], [0.000, 0.500, 0.000], [0.500, 0.500, 0.500], [0.000, 0.000, 0.500]],
  "total_energy_ev_per_atom": -5.645,
  "space_group": "P4/mmm"
}


{
  "formula": "Cs2AcCl6",
  "functional": "GGA-PBE",
  "state": "relaxed",
  "cell": [[-0.180, -4.498, -1.186], [1.495, -2.264, 8.363], [-8.263, 1.083, -2.851]],
  "species": ["Cl", "Cl", "Cl", "Cl", "Cl", "Cl", "Cs", "Cs", "Ac"],
  "fractional_positions": [[0.000, 0.000, 0.228], [0.000, 0.229, 0.000], [0.000, 0.772, 0.772], [0.500, 0.342, 0.342], [0.500, 0.999, 0.658], [0.500, 0.659, 0.000], [0.000, 0.667, 0.334], [0.000, 0.333, 0.666], [0.500, 0.001, 0.000]],
  "total_energy_ev_per_atom": -3.804,
  "space_group": "Amm2"
}


{
  "formula": "RbZn",
  "functional": "GGA-PBE",
  "state": "relaxed",
  "cell": [[15.299, 0.000, 0.000], [0.000, 4.712, 0.000], [0.000, 0.000, 6.980]],
  "species": ["Rb", "Rb", "Rb", "Rb", "Rb", "Rb", "Zn", "Zn", "Zn", "Zn", "Zn", "Zn"],
  "fractional_positions": [[0.742, 0.751, 0.591], [0.258, 0.751, 0.591], [0.000, 0.746, 0.075], [0.500, 0.254, 0.575], [0.758, 0.249, 0.091], [0.242, 0.249, 0.091], [0.000, 0.754, 0.577], [0.500, 0.246, 0.077], [0.417, 0.746, 0.084], [0.917, 0.254, 0.584], [0.083, 0.254, 0.584], [0.583, 0.746, 0.084]],
  "delta_e_f_mev_per_atom": 128.2,
  "space_group": "Pmn2_1"
}